PBE AgO, optimized geometry; DFT total energy = -3.6528 eV per atom; DOS(E_F) = 2.2 states/eV/f.u.; ΔE_f (raw) = 252 meV per atom
1.0
-5.7377 0.6892 -2.3167
-2.0153 -4.6588 3.6052
-1.3344 4.0723 4.5164
Ag O
6 6
Cartesian
-3.8697 3.3989 2.2290
-2.4421 -2.1571 1.2234
-2.1787 -1.4579 4.9621
-1.1710 0.8715 3.1595
-5.3109 -1.8125 0.0651
-3.2024 1.3627 -0.0292
-2.0085 0.7249 5.1899
-2.1016 2.2085 1.6790
-1.3413 -1.3113 2.9317
-4.9705 2.5531 0.5207
-4.3803 -3.1495 1.5456
-3.3727 -0.8201 -0.2571